# 1
VASP calculation (PBEsol) on Li5In3 after structural relaxation.

POSCAR file:
```
Li5In3
1.0
5.3767 0.0000 0.0000
2.6883 7.5946 0.0000
2.6883 0.0000 7.5946
Li In
10 6
Cartesian
8.0650 2.3122 6.3979
6.7208 3.7973 3.7973
5.3767 1.1967 5.2824
2.6883 2.3122 1.1967
2.6883 5.2824 1.1967
5.3767 6.3979 2.3122
8.0650 5.2824 6.3979
4.0325 3.7973 3.7973
5.3767 6.3979 5.2824
5.3767 1.1967 2.3122
5.3767 3.7973 1.1759
4.0325 0.0000 0.0000
2.6883 1.1759 3.7973
8.0650 6.4187 3.7973
5.3767 3.7973 6.4187
1.3442 0.0000 0.0000
```

Summary:
Formation enthalpy at 0 K in eV/atom: -0.2177
E_tot in eV for the cell shown: -41.047
Space-group type: I4/mcm
Fermi-level density of states in states/eV per cell: 4.332
Crystal system: tetragonal

=====

# 2
VASP calculation (PBEsol) on CoRe after structural relaxation.

POSCAR file:
```
CoRe
1.0
2.6086 0.0000 0.0000
-1.3043 4.7079 -0.0032
0.0000 -1.5783 6.0130
Re Co
3 3
Cartesian
1.3043 0.6826 5.6986
0.0000 -0.5712 3.6911
1.3043 1.0747 1.9759
0.0000 3.2426 1.6603
0.0000 2.0623 3.9837
0.0000 0.0223 0.0196
```

Summary:
Formation enthalpy at 0 K in eV/atom: -0.0029
E_tot in eV for the cell shown: -63.225
Space-group type: Cm
Fermi-level density of states in states/eV per cell: 5.222
Crystal system: monoclinic

=====

# 3
VASP calculation (PBEsol) on Cs3CuAu after structural relaxation.

POSCAR file:
```
Cs3CuAu
1.0
6.6419 0.0000 0.0000
0.0000 6.6419 0.0000
0.0000 0.0000 6.6419
Cu Cs Au
1 3 1
Cartesian
3.3209 3.3209 3.3209
0.0000 3.3209 0.0000
3.3209 0.0000 0.0000
0.0000 0.0000 3.3209
0.0000 0.0000 0.0000
```

Summary:
Formation enthalpy at 0 K in eV/atom: 0.3253
E_tot in eV for the cell shown: -9.459
Space-group type: Pm-3m
Fermi-level density of states in states/eV per cell: 5.306
Crystal system: cubic

=====

# 4
VASP calculation (PBEsol) on CrNi3Hg after structural relaxation.

POSCAR file:
```
CrNi3Hg
1.0
4.2209 0.0000 0.0000
0.0000 4.2209 0.0000
0.0000 0.0000 4.2209
Hg Ni Cr
1 3 1
Cartesian
2.1104 2.1104 2.1104
0.0000 2.1104 0.0000
2.1104 0.0000 0.0000
0.0000 0.0000 2.1104
0.0000 0.0000 0.0000
```

Summary:
Formation enthalpy at 0 K in eV/atom: 1.1006
E_tot in eV for the cell shown: -23.778
Space-group type: Pm-3m
Fermi-level density of states in states/eV per cell: 5.874
Crystal system: cubic

=====

# 5
VASP calculation (PBEsol) on CoPt3O6 after structural relaxation.

POSCAR file:
```
CoPt3O6
1.0
3.1899 0.0000 0.0000
0.0000 6.0462 -0.0144
0.0000 -1.9942 5.7079
O Co Pt
6 1 3
Cartesian
0.0000 2.1582 5.1801
0.0000 -0.1353 1.9575
1.5949 3.1861 2.0211
1.5949 0.8659 3.6724
0.0000 4.1873 3.7360
0.0000 1.8938 0.5134
0.0000 2.0260 2.8467
1.5949 3.0231 -0.0072
0.0000 0.0000 0.0000
1.5949 -0.9971 2.8539
```

Summary:
ΔE_f (raw) in eV/atom: -0.547
E_tot in eV for the cell shown: -65.593
Space-group type: Cmmm
Fermi-level density of states in states/eV per cell: 2.024
Crystal system: orthorhombic

=====

# 6
VASP calculation (PBEsol) on Li2CaFe after structural relaxation.

POSCAR file:
```
Li2CaFe
1.0
-3.3056 1.2828 0.3581
-1.5251 -4.3481 1.4973
3.3252 2.6846 3.3442
Fe Li Ca
1 2 1
Cartesian
-0.2674 -1.5471 3.0736
-1.5294 -0.4110 5.0874
-1.2307 1.1758 2.1609
-2.3988 -1.5118 1.0052
```

Summary:
Formation enthalpy at 0 K in eV/atom: 0.5167
Excess energy over the best structure of this formula in the dataset in eV/f.u.: 0.14
E_tot in eV for the cell shown: -12.963
Space-group type: Imm2
Fermi-level density of states in states/eV per cell: 4.854
Crystal system: orthorhombic

=====

# 7
VASP calculation (PBEsol) on SrTlIr2 after structural relaxation.

POSCAR file:
```
SrTlIr2
1.0
4.7770 0.0000 0.0000
2.3885 4.1370 0.0000
2.3885 1.3790 3.9004
Tl Ir Sr
1 2 1
Cartesian
4.7770 2.7580 1.9502
2.3885 1.3790 0.9751
7.1656 4.1370 2.9253
0.0000 0.0000 0.0000
```

Summary:
Formation enthalpy at 0 K in eV/atom: 0.4649
E_tot in eV for the cell shown: -22.258
Space-group type: Fm-3m
Fermi-level density of states in states/eV per cell: 2.770
Crystal system: cubic

=====

# 8
VASP calculation (PBEsol) on CoSi3Rh after structural relaxation.

POSCAR file:
```
CoSi3Rh
1.0
4.4946 0.0000 0.0000
0.0000 4.4946 0.0000
0.0000 0.0000 4.4946
Si Rh Co
3 1 1
Cartesian
0.0000 2.2473 0.0000
2.2473 0.0000 0.0000
0.0000 0.0000 2.2473
0.0000 0.0000 0.0000
2.2473 2.2473 2.2473
```

Summary:
ΔE_f (raw) in eV/atom: 0.863
E_tot in eV for the cell shown: -28.802
Space-group type: Pm-3m
Fermi-level density of states in states/eV per cell: 9.536
Crystal system: cubic

=====

# 9
VASP calculation (PBEsol) on ZrNi2Au after structural relaxation.

POSCAR file:
```
ZrNi2Au
1.0
3.9411 0.0000 0.0000
0.0000 3.9411 0.0000
-1.9706 -1.9706 3.6856
Au Zr Ni
1 1 2
Cartesian
1.9706 1.9706 0.0000
0.0000 0.0000 0.0000
0.0000 1.9706 1.8428
1.9706 0.0000 1.8428
```

Summary:
Formation enthalpy at 0 K in eV/atom: -0.4476
E_tot in eV for the cell shown: -27.119
Space-group type: I4/mmm
Fermi-level density of states in states/eV per cell: 1.624
Crystal system: tetragonal

=====

# 10
VASP calculation (PBEsol) on KNbF2 after structural relaxation.

POSCAR file:
```
KNbF2
1.0
-3.9330 -1.5822 1.4430
-0.1291 -3.6386 2.6073
-1.1171 0.3794 4.3200
F Nb K
2 1 1
Cartesian
-1.2948 -1.2103 2.0926
-3.8844 -3.6310 6.2777
-2.5896 -2.4207 4.1852
0.0000 0.0000 0.0000
```

Summary:
ΔE_f (raw) in eV/atom: -0.783
E_tot in eV for the cell shown: -18.941
Space-group type: Fm-3m
Fermi-level density of states in states/eV per cell: 3.283
Crystal system: cubic

=====

# 11
VASP calculation (PBEsol) on Cs2NaCoB after structural relaxation.

POSCAR file:
```
Cs2NaCoB
1.0
5.4804 0.0000 0.0000
0.0000 5.4517 0.0000
0.0000 0.0000 5.4517
Cs B Na Co
2 1 1 1
Cartesian
0.0000 2.7258 0.0000
0.0000 0.0000 2.7258
2.7402 2.7258 2.7258
2.7402 0.0000 0.0000
0.0000 0.0000 0.0000
```

Summary:
Formation enthalpy at 0 K in eV/atom: 1.6325
E_tot in eV for the cell shown: -9.875
Space-group type: P4/mmm
Fermi-level density of states in states/eV per cell: 6.622
Crystal system: tetragonal

=====

# 12
VASP calculation (PBEsol) on Ba2SiPb after structural relaxation.

POSCAR file:
```
Ba2SiPb
1.0
4.4650 0.0000 0.0000
0.0000 5.1670 0.0000
0.0000 -2.5835 6.1458
Pb Ba Si
1 2 1
Cartesian
0.0000 2.5835 3.9325
2.2325 0.0000 4.8353
0.0000 0.0000 1.4318
2.2325 2.5835 2.2198
```

Summary:
ΔE_f (raw) in eV/atom: -0.467
Excess energy over the best structure of this formula in the dataset in eV/f.u.: 0.00
E_tot in eV for the cell shown: -15.909
Space-group type: Amm2
Fermi-level density of states in states/eV per cell: 1.327
Crystal system: orthorhombic